# 1
Computed, not measured: a relaxed FeAgN3 crystal at the GGA-PBE level of DFT.

Calculated total energy, eV/atom: -4.27
SG: Pm-3m, No. 221
Formation energy (no corrections), eV/atom: 2.99
DOS(E_F), states/eV/cell: 7.8

abc: 3.9408 3.9408 3.9408
angles: 90.00 90.00 90.00
Each line ends with the local moment (μB).
Positions (direct):
Fe 0.5000 0.5000 0.5000  -0.02
Ag 0.0000 0.0000 0.0000  -0.03
N 0.0000 0.5000 0.0000  -0.05
N 0.0000 0.0000 0.5000  -0.03
N 0.5000 0.0000 0.0000  -0.07

=====

# 2
Computed, not measured: a relaxed K2CrGa crystal at the GGA-PBE level of DFT.

Energy of formation, eV per atom: 0.5743
Calculated total energy, eV/atom: -3.14
SG: I-42d, No. 122
DOS(E_F), states/eV/cell: 6.3

abc: 12.5459 12.5459 9.2151
angles: 47.10 47.10 90.00
Each line ends with the local moment (μB).
Positions (direct):
Cr 0.5000 0.5000 0.0000  3.84
Cr 0.2500 0.7500 0.5000  3.84
K 0.7956 0.1250 0.2500  -0.01
K 0.9544 0.6250 0.2500  -0.01
K 0.3750 0.2044 0.7500  -0.01
K 0.8750 0.0456 0.7500  -0.01
Ga 0.0000 0.0000 0.0000  -0.11
Ga 0.7500 0.2500 0.5000  -0.11

=====

# 3
Computed, not measured: a relaxed KCdPtC2 crystal at the GGA-PBE level of DFT.

Energy of formation, eV per atom: 2.5917
Calculated total energy, eV/atom: -2.71
SG: P4/mmm, No. 123
DOS(E_F), states/eV/cell: 3.6

abc: 4.3469 5.5674 4.3469
angles: 90.00 90.00 90.00
Positions (direct):
K 0.0000 0.5000 0.0000
C 0.0000 0.0000 0.5000
C 0.5000 0.0000 0.0000
Pt 0.5000 0.5000 0.5000
Cd 0.0000 0.0000 0.0000

=====

# 4
Computed, not measured: a relaxed SmSc2Ta crystal at the GGA-PBE level of DFT.

Energy of formation, eV per atom: 0.2307
Calculated total energy, eV/atom: -7.08
Excess energy over the best structure of this formula in the dataset, meV per atom: 21.7
SG: P4/mmm, No. 123
DOS(E_F), states/eV/cell: 4.6

abc: 3.7138 3.7138 7.0267
angles: 90.00 90.00 90.00
Positions (direct):
Sc 0.0000 0.0000 0.7948
Sc 0.0000 0.0000 0.2052
Sm 0.5000 0.5000 0.5000
Ta 0.5000 0.5000 0.0000

=====

# 5
Computed, not measured: a relaxed ZnC3 crystal at the GGA-PBE level of DFT.

Energy of formation, eV per atom: 2.6777
Calculated total energy, eV/atom: -4.56
Excess energy over the best structure of this formula in the dataset, meV per atom: 2225.4
SG: Im-3m, No. 229
DOS(E_F), states/eV/cell: 0.8

abc: 3.5161 3.5162 3.5162
angles: 109.46 109.47 109.47
Positions (direct):
Zn 0.0000 0.5000 0.5000
C 0.0000 0.0000 0.0000
C 0.5000 0.0000 0.5000
C 0.5000 0.5000 0.0000

=====

# 6
Computed, not measured: a relaxed TlAgIBr crystal at the GGA-PBE level of DFT.

Calculated total energy, eV/atom: -2.57
SG: Pmm2, No. 25
Formation energy (no corrections), eV/atom: -0.46
DOS(E_F), states/eV/cell: 0.0

abc: 5.1568 5.9243 5.0878
angles: 89.99 90.00 90.00
Positions (direct):
Tl 0.0000 0.4492 0.9339
Ag 0.5000 0.9492 0.5111
I 0.5000 0.4492 0.4041
Br 0.0000 0.9491 0.6839